Crystalline SrPrSiN3 at its relaxed geometry, computed with PBE.

The value obtained for the uncorrected energy is -6.9752 eV per atom. As for the crystal system: monoclinic.

The space group is C2/m (No. 12) and the conventional cell measures 12.897, 3.877 and 7.448 Å, with angles of 90.00, 106.63 and 90.00 degrees. The distinct sites, in fractional coordinates, are Sr at (0.148, 0.000, 0.071), Pr at (0.150, 0.000, 0.578), Si at (0.002, 0.500, 0.262), N at (0.004, 0.000, 0.271), N at (0.142, 0.500, 0.812) and N at (0.148, 0.500, 0.331).